This record from Alexandria via LeMat-Bulk describes a relaxed structure of MnOs. The functional is PBEsol.

```
MnOs
1.0
4.683 -1.322 0.000
4.683 1.322 0.000
-1.510 0.000 5.952
Mn Os
3 3
direct
0.000 0.000 0.000
0.058 0.058 0.603
0.664 0.664 0.334
0.336 0.336 0.664
0.394 0.394 0.276
0.714 0.714 0.942
```

Output
- SG = Cm (8)
- energy (Ry per atom) = -0.8073
- mass density (g cm⁻³) = 16.58

This record from Alexandria via LeMat-Bulk describes a relaxed structure of Mn3Os. The functional is PBEsol.

```
Mn3Os
1.0
-1.805 1.805 7.145
1.805 -1.805 7.145
1.805 1.805 -7.145
Mn Os
6 2
direct
0.000 0.500 0.500
0.123 0.123 0.000
0.250 0.750 0.500
0.500 0.000 0.500
0.750 0.250 0.500
0.877 0.877 0.000
0.374 0.374 0.000
0.626 0.626 0.000
```

Output
- SG = I4/mmm (139)
- energy (Ry per atom) = -0.7590
- mass density (g cm⁻³) = 12.66

This record from Alexandria via LeMat-Bulk describes a relaxed structure of MnOs2. The functional is PBEsol.

```
MnOs2
1.0
4.777 -1.338 0.000
4.777 1.338 0.000
-1.500 0.000 6.029
Mn Os
2 4
direct
0.029 0.029 0.307
0.971 0.971 0.693
0.312 0.312 0.366
0.363 0.363 0.969
0.637 0.637 0.031
0.688 0.688 0.634
```

Output
- SG = C2/m (12)
- energy (Ry per atom) = -0.8382
- mass density (g cm⁻³) = 18.76

This record from Alexandria via LeMat-Bulk describes a relaxed structure of MnOs2. The functional is PBEsol.

```
MnOs2
1.0
1.341 -6.846 0.000
1.341 6.846 0.000
0.000 0.000 4.219
Mn Os
2 4
direct
0.224 0.776 0.750
0.776 0.224 0.250
0.119 0.881 0.250
0.440 0.560 0.250
0.560 0.440 0.750
0.881 0.119 0.750
```

Output
- SG = Cmcm (63)
- energy (Ry per atom) = -0.8360
- mass density (g cm⁻³) = 18.66

no.,spin magnetization (μB/f.u.),formation energy (meV/atom)
1,0.0,4
2,0.7,49
3,0.0,-7
4,0.0,23